Run i
# Nb2OsI (PBE, relaxed)
data_Nb2OsI
_chemical_formula_sum 'Nb8 Os4 I4'
_space_group_name_H-M_alt 'I -4 2 d'
_space_group_IT_number 122
_space_group_name_Hall 'I -4 2bw'
_cell_length_a 5.8111
_cell_length_b 5.8111
_cell_length_c 13.1126
_cell_angle_alpha 90.00
_cell_angle_beta 90.00
_cell_angle_gamma 90.00
loop_
_atom_site_label
_atom_site_type_symbol
_atom_site_fract_x
_atom_site_fract_y
_atom_site_fract_z
_atom_site_occupancy
Nb1 Nb 0.1951 0.2500 0.1250 1
Os1 Os 0.0000 0.0000 0.0000 1
I1 I 0.0000 0.0000 0.5000 1
# Mass density   7.54 g/cm³
# Crystal system   tetragonal

Run ii
# Nb2OsI (PBE, relaxed)
data_Nb2OsI
_chemical_formula_sum 'Nb8 Os4 I4'
_space_group_name_H-M_alt 'F m -3 m'
_space_group_IT_number 225
_space_group_name_Hall '-F 4 2 3'
_cell_length_a 6.6445
_cell_length_b 6.6445
_cell_length_c 6.6445
_cell_angle_alpha 90.00
_cell_angle_beta 90.00
_cell_angle_gamma 90.00
loop_
_atom_site_label
_atom_site_type_symbol
_atom_site_fract_x
_atom_site_fract_y
_atom_site_fract_z
_atom_site_occupancy
Nb1 Nb 0.2500 0.2500 0.2500 1
Os1 Os 0.0000 0.0000 0.0000 1
I1 I 0.0000 0.0000 0.5000 1
# Mass density   11.39 g/cm³
# Crystal system   cubic

The most stable arrangement is run ii, and the next structure is 363 meV per atom less stable.

Run i
# NbOs2I (PBE, relaxed)
data_NbOs2I
_chemical_formula_sum 'Nb4 Os8 I4'
_space_group_name_H-M_alt 'I -4 2 d'
_space_group_IT_number 122
_space_group_name_Hall 'I -4 2bw'
_cell_length_a 5.8128
_cell_length_b 5.8128
_cell_length_c 11.8729
_cell_angle_alpha 90.00
_cell_angle_beta 90.00
_cell_angle_gamma 90.00
loop_
_atom_site_label
_atom_site_type_symbol
_atom_site_fract_x
_atom_site_fract_y
_atom_site_fract_z
_atom_site_occupancy
Nb1 Nb 0.0000 0.0000 0.0000 1
Os1 Os 0.2420 0.2500 0.1250 1
I1 I 0.0000 0.0000 0.5000 1
# Mass density   9.94 g/cm³
# Crystal system   tetragonal

Run ii
# NbOs2I (PBE, relaxed)
data_NbOs2I
_chemical_formula_sum 'Nb4 Os8 I4'
_space_group_name_H-M_alt 'F m -3 m'
_space_group_IT_number 225
_space_group_name_Hall '-F 4 2 3'
_cell_length_a 6.5751
_cell_length_b 6.5751
_cell_length_c 6.5751
_cell_angle_alpha 90.00
_cell_angle_beta 90.00
_cell_angle_gamma 90.00
loop_
_atom_site_label
_atom_site_type_symbol
_atom_site_fract_x
_atom_site_fract_y
_atom_site_fract_z
_atom_site_occupancy
Nb1 Nb 0.0000 0.0000 0.0000 1
Os1 Os 0.2500 0.2500 0.2500 1
I1 I 0.0000 0.0000 0.5000 1
# Mass density   14.03 g/cm³
# Crystal system   cubic

The most stable arrangement is run ii, and the next structure is 176 meV per atom less stable.

Run i
# NbSb2OsI (PBE, relaxed)
data_NbSb2OsI
_chemical_formula_sum 'Nb1 Sb2 Os1 I1'
_space_group_name_H-M_alt 'P 4/m m m'
_space_group_IT_number 123
_space_group_name_Hall '-P 4 2'
_cell_length_a 5.0434
_cell_length_b 5.0434
_cell_length_c 5.6497
_cell_angle_alpha 90.00
_cell_angle_beta 90.00
_cell_angle_gamma 90.00
loop_
_atom_site_label
_atom_site_type_symbol
_atom_site_fract_x
_atom_site_fract_y
_atom_site_fract_z
_atom_site_occupancy
Nb1 Nb 0.0000 0.0000 0.0000 1
Sb1 Sb 0.0000 0.5000 0.5000 1
Os1 Os 0.5000 0.5000 0.5000 1
I1 I 0.5000 0.5000 0.0000 1
# Mass density   7.55 g/cm³
# Crystal system   tetragonal

Run ii
# NbSb2OsI (PBE, relaxed)
data_NbSb2OsI
_chemical_formula_sum 'Nb1 Sb2 Os1 I1'
_space_group_name_H-M_alt 'P 4/m m m'
_space_group_IT_number 123
_space_group_name_Hall '-P 4 2'
_cell_length_a 5.3653
_cell_length_b 5.3653
_cell_length_c 5.3766
_cell_angle_alpha 90.00
_cell_angle_beta 90.00
_cell_angle_gamma 90.00
loop_
_atom_site_label
_atom_site_type_symbol
_atom_site_fract_x
_atom_site_fract_y
_atom_site_fract_z
_atom_site_occupancy
Nb1 Nb 0.0000 0.0000 0.0000 1
Sb1 Sb 0.0000 0.5000 0.0000 1
Os1 Os 0.5000 0.5000 0.5000 1
I1 I 0.0000 0.0000 0.5000 1
# Mass density   7.01 g/cm³
# Crystal system   tetragonal

The most stable arrangement is run i, and the next structure is 353 meV per atom less stable.